# 1
# Na3CrGe | Alexandria via LeMat-Bulk | PBE-GGA | optimized geometry
data_Na3CrGe
_cell_length_a 5.558
_cell_length_b 5.558
_cell_length_c 5.558
_cell_angle_alpha 90.00
_cell_angle_beta 90.00
_cell_angle_gamma 90.00
_space_group_name_H-M_alt 'P m -3 m'
_space_group_IT_number 221
_space_group_name_Hall '-P 4 2 3'
loop_
_atom_site_label
_atom_site_type_symbol
_atom_site_fract_x
_atom_site_fract_y
_atom_site_fract_z
_atom_site_occupancy
Na1 Na 0.000 0.000 0.500 1
Cr1 Cr 0.500 0.500 0.500 1
Ge1 Ge 0.000 0.000 0.000 1
# - excess energy over the best structure of this formula in the dataset (eV/atom) = 0.000
# - magnetic moment (μB per atom) = 0.99
# - energy of formation from the pure elements (meV per atom) = 718

=====

# 2
# Ac2NpRe2N6 | Alexandria via LeMat-Bulk | PBE-GGA | optimized geometry
data_Ac2NpRe2N6
_cell_length_a 5.8919
_cell_length_b 5.8919
_cell_length_c 18.2546
_cell_angle_alpha 90.00
_cell_angle_beta 90.00
_cell_angle_gamma 120.00
_space_group_name_H-M_alt 'R -3 m'
_space_group_IT_number 166
_space_group_name_Hall '-R 3 2"'
loop_
_atom_site_label
_atom_site_type_symbol
_atom_site_fract_x
_atom_site_fract_y
_atom_site_fract_z
_atom_site_occupancy
Ac1 Ac 0.0000 0.0000 0.2128 1
Np1 Np 0.0000 0.0000 0.0000 1
Re1 Re 0.0000 0.0000 0.3980 1
N1 N 0.0127 0.5063 0.7578 1
# - formation energy (no corrections) (eV per atom) = -0.68
# - magnetic moment (μB per atom) = 0.31

=====

# 3
# Sm5YAl4 | Alexandria via LeMat-Bulk | PBE-GGA | optimized geometry
data_Sm5YAl4
_cell_length_a 3.666
_cell_length_b 3.666
_cell_length_c 19.908
_cell_angle_alpha 90.00
_cell_angle_beta 90.00
_cell_angle_gamma 90.00
_space_group_name_H-M_alt 'P 4/m m m'
_space_group_IT_number 123
_space_group_name_Hall '-P 4 2'
loop_
_atom_site_label
_atom_site_type_symbol
_atom_site_fract_x
_atom_site_fract_y
_atom_site_fract_z
_atom_site_occupancy
Sm1 Sm 0.000 0.000 0.000 1
Sm2 Sm 0.000 0.000 0.186 1
Sm3 Sm 0.000 0.000 0.372 1
Y1 Y 0.500 0.500 0.500 1
Al1 Al 0.500 0.500 0.093 1
Al2 Al 0.500 0.500 0.280 1
# - magnetic moment (μB per atom) = 0.00
# - energy of formation from the pure elements (meV per atom) = -283

=====

# 4
# TaAgSe | Alexandria via LeMat-Bulk | PBE-GGA | optimized geometry
data_TaAgSe
_cell_length_a 6.340
_cell_length_b 6.340
_cell_length_c 6.340
_cell_angle_alpha 90.00
_cell_angle_beta 90.00
_cell_angle_gamma 90.00
_space_group_name_H-M_alt 'F -4 3 m'
_space_group_IT_number 216
_space_group_name_Hall 'F -4 2 3'
loop_
_atom_site_label
_atom_site_type_symbol
_atom_site_fract_x
_atom_site_fract_y
_atom_site_fract_z
_atom_site_occupancy
Ta1 Ta 0.000 0.000 0.000 1
Ag1 Ag 0.250 0.250 0.750 1
Se1 Se 0.250 0.250 0.250 1
# - formation energy (no corrections) (eV per atom) = 0.51
# - excess energy over the best structure of this formula in the dataset (eV/atom) = 0.595
# - magnetic moment (μB per atom) = 0.38